A relaxed NpGe2Rh2 crystal, computed with PBE.

Calculated values
theoretical density	11.0	g/cm³
ΔH_f (0 K)	-0.439	eV/atom
E	-39.075	eV/cell

Cell: 4.0907 4.0907 5.3202 Å, 90.00 90.00 90.00°
With the nearest neighbours (Å) after each atom.
Element x y z (fractional)
Ge1 0.5000 0.5000 0.2310  1 Ge 2.46, 4 Rh 2.50
Ge2 0.5000 0.5000 0.7690  1 Ge 2.46, 4 Rh 2.50
Np1 0.0000 0.0000 0.0000  8 Ge 3.14, 8 Rh 3.36
Rh1 0.0000 0.5000 0.5000  4 Ge 2.50
Rh2 0.5000 0.0000 0.5000  4 Ge 2.50